# 1
First-principles (PBE-GGA) data for crystalline CePr7Dy12 at its relaxed geometry, as listed in the Alexandria database.

Unit cell a=8.763 b=8.763 c=8.763 alpha=90.47 beta=90.47 gamma=90.47
Sites, in units of the cell vectors:
Ce (0.000, 0.000, 0.000)
Pr (0.960, 0.669, 0.063)
Pr (0.331, 0.937, 0.040)
Pr (0.937, 0.040, 0.331)
Pr (0.500, 0.500, 0.500)
Pr (0.063, 0.960, 0.669)
Pr (0.669, 0.063, 0.960)
Pr (0.040, 0.331, 0.937)
Dy (0.777, 0.239, 0.632)
Dy (0.761, 0.368, 0.223)
Dy (0.451, 0.126, 0.364)
Dy (0.874, 0.636, 0.549)
Dy (0.368, 0.223, 0.761)
Dy (0.636, 0.549, 0.874)
Dy (0.364, 0.451, 0.126)
Dy (0.632, 0.777, 0.239)
Dy (0.126, 0.364, 0.451)
Dy (0.549, 0.874, 0.636)
Dy (0.239, 0.632, 0.777)
Dy (0.223, 0.761, 0.368)

Calculated values
Density of states at the Fermi level   38.7 states/eV/cell
Energy of formation   0.236 eV/atom

---

# 2
First-principles (PBE-GGA) data for crystalline Ac3MgSi2 at its relaxed geometry, as listed in the Alexandria database.

Unit cell a=8.220 b=8.220 c=8.220 alpha=61.71 beta=61.71 gamma=61.71
Sites, in units of the cell vectors:
Ac (0.468, 0.032, 0.750)
Ac (0.032, 0.750, 0.468)
Ac (0.750, 0.468, 0.032)
Ac (0.532, 0.968, 0.250)
Ac (0.968, 0.250, 0.532)
Ac (0.250, 0.532, 0.968)
Mg (0.500, 0.500, 0.500)
Mg (0.000, 0.000, 0.000)
Si (0.360, 0.360, 0.360)
Si (0.140, 0.140, 0.140)
Si (0.860, 0.860, 0.860)
Si (0.640, 0.640, 0.640)

Calculated values
Density of states at the Fermi level   16.7 states/eV/cell
Formation energy without anion corrections   -0.242 eV/atom

---

# 3
First-principles (PBE-GGA) data for crystalline La5Tl2Ir at its relaxed geometry, as listed in the Alexandria database.

Unit cell a=4.900 b=8.342 c=12.645 alpha=90.00 beta=90.00 gamma=90.00
Sites, in units of the cell vectors:
La (0.000, 0.000, 0.500)
La (0.000, 0.500, 0.000)
La (0.000, 0.865, 0.201)
La (0.000, 0.135, 0.799)
La (0.000, 0.635, 0.701)
La (0.000, 0.365, 0.299)
La (0.500, 0.684, 0.431)
La (0.500, 0.316, 0.569)
La (0.500, 0.816, 0.931)
La (0.500, 0.184, 0.069)
Tl (0.500, 0.578, 0.169)
Tl (0.500, 0.422, 0.831)
Tl (0.500, 0.922, 0.669)
Tl (0.500, 0.078, 0.331)
Ir (0.000, 0.500, 0.500)
Ir (0.000, 0.000, 0.000)

Calculated values
Density of states at the Fermi level   18.0 states/eV/cell
Energy of formation   -0.485 eV/atom

---

Number 1: calculated total energy -4.495 eV/atom, V 672.9 Å³ per cell, density 7592 kg/m³. Number 2: calculated total energy -4.370 eV/atom, V 407.7 Å³ per cell, density 6202 kg/m³. Number 3: calculated total energy -5.264 eV/atom, V 516.9 Å³ per cell, density 8324 kg/m³.